[1]
First-principles (PBE) data for K2SrCd after structural relaxation, as listed in the Alexandria database.

Summary:
* D(E_F): 1.057 states/eV per atom
* VASP energy: -1.0989 eV/atom
* space-group type: C2/m (12)
* E_form: 0.099 eV per atom

Geometry as POSCAR:
```
K2SrCd
1.0
3.692 -7.124 0.000
3.692 7.124 0.000
-2.312 0.000 3.685
K Sr Cd
2 1 1
Direct
0.000 0.500 0.000
0.500 0.000 0.000
0.000 0.000 0.500
0.500 0.500 0.500
```



[2]
First-principles (PBE) data for K2SrCd after structural relaxation, as listed in the Alexandria database.

Summary:
* D(E_F): 0.728 states/eV per atom
* VASP energy: -1.2619 eV/atom
* space-group type: Pm (6)
* E_form: -0.064 eV per atom

Geometry as POSCAR:
```
K2SrCd
1.0
4.317 0.000 0.000
0.000 4.280 0.000
-0.019 0.000 10.948
K Sr Cd
2 1 1
Direct
0.000 0.000 0.000
0.496 0.500 0.336
0.996 0.000 0.637
0.497 0.500 0.787
```



[3]
First-principles (PBE) data for K3SrCd8 after structural relaxation, as listed in the Alexandria database.

Summary:
* D(E_F): 0.428 states/eV per atom
* VASP energy: -1.1654 eV/atom
* space-group type: R3m (160)
* E_form: -0.141 eV per atom

Geometry as POSCAR:
```
K3SrCd8
1.0
3.131 1.808 10.553
-3.131 1.808 10.553
0.000 -3.615 10.553
K Sr Cd
3 1 8
Direct
0.000 0.000 0.000
0.124 0.124 0.124
0.496 0.496 0.496
0.622 0.622 0.622
0.056 0.560 0.560
0.061 0.061 0.565
0.061 0.565 0.061
0.310 0.310 0.310
0.560 0.056 0.560
0.560 0.560 0.056
0.565 0.061 0.061
0.810 0.810 0.810
```



[4]
First-principles (PBE) data for KSrCd2 after structural relaxation, as listed in the Alexandria database.

Summary:
* D(E_F): 0.669 states/eV per atom
* VASP energy: -1.2919 eV/atom
* space-group type: P4/mmm (123)
* E_form: -0.140 eV per atom
* energy above the most stable polymorph in this dataset: 0.03 eV per formula unit

Geometry as POSCAR:
```
KSrCd2
1.0
4.065 0.000 0.000
0.000 4.065 0.000
0.000 0.000 8.799
K Sr Cd
1 1 2
Direct
0.000 0.000 0.000
0.000 0.000 0.500
0.500 0.500 0.279
0.500 0.500 0.721
```



[5]
First-principles (PBE) data for KSr2Cd after structural relaxation, as listed in the Alexandria database.

Summary:
* D(E_F): 0.933 states/eV per atom
* VASP energy: -1.3918 eV/atom
* space-group type: R3m (160)
* E_form: -0.048 eV per atom

Geometry as POSCAR:
```
KSr2Cd
1.0
2.207 1.274 12.135
-2.207 1.274 12.135
0.000 -2.548 12.135
K Sr Cd
1 2 1
Direct
0.000 0.000 0.000
0.229 0.229 0.229
0.438 0.438 0.438
0.834 0.834 0.834
```



[6]
First-principles (PBE) data for K2SrCd after structural relaxation, as listed in the Alexandria database.

Summary:
* D(E_F): 0.886 states/eV per atom
* VASP energy: -1.2056 eV/atom
* space-group type: Immm (71)
* E_form: -0.008 eV per atom

Geometry as POSCAR:
```
K2SrCd
1.0
-2.094 2.757 9.330
2.094 -2.757 9.330
2.094 2.757 -9.330
K Sr Cd
2 1 1
Direct
0.170 0.170 0.000
0.830 0.830 0.000
0.500 0.000 0.500
0.000 0.500 0.500
```